A plane-wave DFT calculation with PBE was carried out for crystalline BIrI3 at its relaxed geometry.

a = 4.9823 Å, b = 4.9823 Å, c = 4.9823 Å
α = 90.00°, β = 90.00°, γ = 90.00°
With the nearest neighbours (Å) after each atom.
Fractional positions:
Ir 0.5000 0.5000 0.5000  12 I 3.52
I 0.0000 0.0000 0.5000  2 B 2.49
I 0.0000 0.5000 0.0000  2 B 2.49
B 0.0000 0.0000 0.0000  6 I 2.49
I 0.5000 0.0000 0.0000  2 B 2.49

Properties
energy above the most stable polymorph in this dataset: 0.329 eV/atom
E_form (uncorrected): 1585 meV/atom
space-group type: No. 221
E_tot: -2.453 eV/atom
volume: 24.74 Å³/atom

A plane-wave DFT calculation with PBE was carried out for crystalline Sm5ErGa6 at its relaxed geometry.

a = 5.1349 Å, b = 8.8881 Å, c = 8.9020 Å
α = 60.05°, β = 73.19°, γ = 54.59°
With the nearest neighbours (Å) after each atom.
Fractional positions:
Sm 0.5000 0.1705 0.6591  8 Ga 3.12-3.16
Sm 0.5000 0.5000 0.0000  8 Ga 3.14-3.19
Sm 0.0000 0.6647 0.6705  8 Ga 3.17-3.18
Ga 0.7383 0.7611 0.0000  2 Er 3.09-3.10, 6 Sm 3.15-3.19, 1 Ga 3.46
Sm 0.0000 0.3353 0.3295  8 Ga 3.17-3.18
Ga 0.2438 0.9199 0.6722  1 Er 3.08, 7 Sm 3.12-3.18
Ga 0.7562 0.0801 0.3278  1 Er 3.08, 7 Sm 3.12-3.18
Ga 0.2438 0.5921 0.3278  1 Er 3.08, 7 Sm 3.12-3.18
Ga 0.2617 0.2389 0.0000  2 Er 3.09-3.10, 6 Sm 3.15-3.19, 1 Ga 3.46
Er 0.0000 0.0000 0.0000  8 Ga 3.08-3.10
Ga 0.7562 0.4079 0.6722  1 Er 3.08, 7 Sm 3.12-3.18
Sm 0.5000 0.8295 0.3409  8 Ga 3.12-3.16

Properties
calculated formation energy: -55 kJ/mol of atoms
space-group type: No. 12
E_tot: -4.430 eV/atom
volume: 23.91 Å³/atom

A plane-wave DFT calculation with PBE was carried out for crystalline Ho5ErTl6 at its relaxed geometry.

a = 5.3443 Å, b = 9.2726 Å, c = 9.2726 Å
α = 120.17°, β = 106.83°, γ = 106.83°
With the nearest neighbours (Å) after each atom.
Fractional positions:
Ho 0.5000 0.1670 0.8330  8 Tl 3.26-3.28
Tl 0.2509 0.7510 0.7510  2 Er 3.26-3.27, 6 Ho 3.27-3.28
Er 0.0000 0.0000 0.0000  8 Tl 3.26-3.27
Ho 0.0000 0.6665 0.3335  8 Tl 3.27-3.28
Tl 0.2495 0.0832 0.4159  7 Ho 3.26-3.28, 1 Er 3.27
Ho 0.5000 0.8330 0.1670  8 Tl 3.26-3.28
Tl 0.7491 0.2490 0.2490  2 Er 3.26-3.27, 6 Ho 3.27-3.28
Tl 0.7505 0.5841 0.9168  7 Ho 3.26-3.28, 1 Er 3.27
Ho 0.5000 0.5000 0.5000  8 Tl 3.27-3.28
Ho 0.0000 0.3335 0.6665  8 Tl 3.27-3.28
Tl 0.7505 0.9168 0.5841  7 Ho 3.26-3.28, 1 Er 3.27
Tl 0.2495 0.4159 0.0832  7 Ho 3.26-3.28, 1 Er 3.27

Properties
energy above the most stable polymorph in this dataset: 0.000 eV/atom
calculated formation energy: -31 kJ/mol of atoms
space-group type: No. 12
E_tot: -3.793 eV/atom
volume: 26.96 Å³/atom

A plane-wave DFT calculation with PBE was carried out for crystalline La2ErSb at its relaxed geometry.

a = 4.2800 Å, b = 4.2800 Å, c = 7.0170 Å
α = 90.00°, β = 90.00°, γ = 90.00°
With the nearest neighbours (Å) after each atom.
Fractional positions:
Sb 0.5000 0.5000 0.5000  8 La 3.42, 2 Er 3.51
La 0.0000 0.0000 0.7268  1 La 3.18, 4 Sb 3.42
La 0.0000 0.0000 0.2732  1 La 3.18, 4 Sb 3.42
Er 0.5000 0.5000 0.0000  2 Sb 3.51, 8 La 3.58

Properties
energy above the most stable polymorph in this dataset: 0.024 eV/atom
E_form (uncorrected): -529 meV/atom
space-group type: No. 123
E_tot: -5.164 eV/atom
volume: 32.14 Å³/atom

A plane-wave DFT calculation with PBE was carried out for crystalline Li3Dy2AlCu12 at its relaxed geometry.

a = 6.4940 Å, b = 6.4940 Å, c = 6.4940 Å
α = 83.50°, β = 83.50°, γ = 83.50°
With the nearest neighbours (Å) after each atom.
Fractional positions:
Li 0.0000 0.0000 0.5000  10 Cu 2.63-2.87, 2 Dy 2.89
Cu 0.4255 0.8521 0.4255  4 Cu 2.43-2.57
Dy 0.2835 0.2835 0.2835  9 Cu 2.82-2.93, 3 Li 2.89
Li 0.0000 0.5000 0.0000  10 Cu 2.63-2.87, 2 Dy 2.89
Al 0.0000 0.0000 0.0000  6 Cu 2.41
Cu 0.7992 0.2691 0.7992  1 Al 2.41, 5 Cu 2.43-2.59, 1 Li 2.63
Cu 0.7992 0.7992 0.2691  1 Al 2.41, 5 Cu 2.43-2.59, 1 Li 2.63
Cu 0.2691 0.7992 0.7992  1 Al 2.41, 5 Cu 2.43-2.59, 1 Li 2.63
Cu 0.1479 0.5745 0.5745  4 Cu 2.43-2.57
Cu 0.5745 0.1479 0.5745  4 Cu 2.43-2.57
Dy 0.7165 0.7165 0.7165  9 Cu 2.82-2.93, 3 Li 2.89
Li 0.5000 0.0000 0.0000  10 Cu 2.63-2.87, 2 Dy 2.89
Cu 0.4255 0.4255 0.8521  4 Cu 2.43-2.57
Cu 0.2008 0.2008 0.7309  1 Al 2.41, 5 Cu 2.43-2.59, 1 Li 2.63
Cu 0.5745 0.5745 0.1479  4 Cu 2.43-2.57
Cu 0.2008 0.7309 0.2008  1 Al 2.41, 5 Cu 2.43-2.59, 1 Li 2.63
Cu 0.8521 0.4255 0.4255  4 Cu 2.43-2.57
Cu 0.7309 0.2008 0.2008  1 Al 2.41, 5 Cu 2.43-2.59, 1 Li 2.63

Properties
calculated formation energy: 0 kJ/mol of atoms
space-group type: No. 166
E_tot: -3.773 eV/atom
volume: 14.94 Å³/atom

A plane-wave DFT calculation with PBE was carried out for crystalline Pa2SnRh at its relaxed geometry.

a = 3.2520 Å, b = 3.2520 Å, c = 8.5415 Å
α = 90.00°, β = 90.00°, γ = 90.00°
With the nearest neighbours (Å) after each atom.
Fractional positions:
Pa 0.0000 0.0000 0.7800  4 Rh 2.97, 4 Pa 3.25, 4 Sn 3.32
Pa 0.0000 0.0000 0.2200  4 Rh 2.97, 4 Pa 3.25, 4 Sn 3.32
Sn 0.5000 0.5000 0.5000  4 Sn 3.25, 8 Pa 3.32
Rh 0.5000 0.5000 0.0000  8 Pa 2.97, 4 Rh 3.25

Properties
energy above the most stable polymorph in this dataset: 0.000 eV/atom
calculated formation energy: -43 kJ/mol of atoms
space-group type: No. 123
E_tot: -8.033 eV/atom
volume: 22.58 Å³/atom